[1]
DFT (PBE-GGA) results for a relaxed AgSnSe2Br crystal.

## Properties
* offset from the most stable computed form: 1.28 eV/f.u.

abc: 5.1928 5.1928 5.7560
angles: 90.00 90.00 90.00
Closest atoms and distances in Å follow each position.
Atoms (fractional coordinates):
Ag1 0.0000 0.0000 0.0000  2 Sn 2.88
Sn1 0.0000 0.0000 0.5000  4 Se 2.60, 2 Ag 2.88
Se1 0.0000 0.5000 0.5000  2 Sn 2.60
Se2 0.5000 0.0000 0.5000  2 Sn 2.60
Br1 0.5000 0.5000 0.0000  4 Ag 3.67, 8 Se 3.88



[2]
DFT (PBE-GGA) results for a relaxed AgSnSe2Br crystal.

## Properties
* offset from the most stable computed form: 0.00 eV/f.u.

abc: 5.1349 5.1349 5.1874
angles: 90.00 90.00 90.00
Closest atoms and distances in Å follow each position.
Atoms (fractional coordinates):
Ag1 0.0000 0.0000 0.0000  4 Se 2.57, 2 Br 2.59
Sn1 0.5000 0.5000 0.5000  4 Br 3.63, 8 Se 3.65
Se1 0.0000 0.5000 0.0000  2 Ag 2.57
Se2 0.5000 0.0000 0.0000  2 Ag 2.57
Br1 0.0000 0.0000 0.5000  2 Ag 2.59



[3]
DFT (PBE-GGA) results for a relaxed Ag5SnSe4Br2 crystal.

## Properties
* energy: -3.1722 eV per atom

abc: 8.0486 6.9228 6.9228
angles: 123.59 90.00 90.00
Closest atoms and distances in Å follow each position.
Atoms (fractional coordinates):
Ag1 0.0000 0.0000 0.0000  2 Se 2.63, 2 Br 2.74
Ag2 0.2763 0.2962 0.6660  3 Se 2.66-2.82, 1 Br 2.77
Ag3 0.2763 0.6660 0.2962  3 Se 2.66-2.82, 1 Br 2.77
Ag4 0.7237 0.2962 0.6660  3 Se 2.66-2.82, 1 Br 2.77
Ag5 0.7237 0.6660 0.2962  3 Se 2.66-2.82, 1 Br 2.77
Sn1 0.5000 0.0389 0.0389  4 Se 2.57-2.63
Se1 0.2425 0.2702 0.2702  1 Sn 2.57, 3 Ag 2.63-2.66
Se2 0.5000 0.6349 0.9900  1 Sn 2.63, 4 Ag 2.70-2.82
Se3 0.5000 0.9900 0.6349  1 Sn 2.63, 4 Ag 2.70-2.82
Se4 0.7575 0.2702 0.2702  1 Sn 2.57, 3 Ag 2.63-2.66
Br1 0.0000 0.5601 0.9071  3 Ag 2.74-2.77
Br2 0.0000 0.9071 0.5601  3 Ag 2.74-2.77



[4]
DFT (PBE-GGA) results for a relaxed Ag2SnSe2Br2 crystal.

## Properties
* energy: -3.1061 eV per atom

abc: 14.8842 3.7923 7.8133
angles: 90.00 119.90 90.00
Closest atoms and distances in Å follow each position.
Atoms (fractional coordinates):
Ag1 0.1388 0.0000 0.2547  2 Se 2.71, 2 Br 2.74
Ag2 0.3612 0.5000 0.7453  2 Se 2.71, 2 Br 2.74
Ag3 0.6388 0.5000 0.2547  2 Se 2.71, 2 Br 2.74
Ag4 0.8612 0.0000 0.7453  2 Se 2.71, 2 Br 2.74
Sn1 0.0000 0.0000 0.5000  4 Se 2.79, 2 Br 2.92
Sn2 0.5000 0.5000 0.5000  4 Se 2.79, 2 Br 2.92
Se1 0.0062 0.5000 0.2442  2 Ag 2.71, 2 Sn 2.79
Se2 0.4938 0.0000 0.7558  2 Ag 2.71, 2 Sn 2.79
Se3 0.5062 0.0000 0.2442  2 Ag 2.71, 2 Sn 2.79
Se4 0.9938 0.5000 0.7558  2 Ag 2.71, 2 Sn 2.79
Br1 0.2257 0.0000 0.7342  2 Ag 2.74, 1 Sn 2.92
Br2 0.2743 0.5000 0.2658  2 Ag 2.74, 1 Sn 2.92
Br3 0.7257 0.5000 0.7342  2 Ag 2.74, 1 Sn 2.92
Br4 0.7743 0.0000 0.2658  2 Ag 2.74, 1 Sn 2.92



[5]
DFT (PBE-GGA) results for a relaxed SrAgSeBr2 crystal.

## Properties
* offset from the most stable computed form: 1.73 eV/f.u.

abc: 5.8627 5.8627 6.0709
angles: 90.00 90.00 90.00
Closest atoms and distances in Å follow each position.
Atoms (fractional coordinates):
Sr1 0.0000 0.0000 0.0000  4 Br 2.93, 2 Se 3.04
Ag1 0.5000 0.5000 0.5000  4 Se 4.15, 8 Br 4.22
Se1 0.0000 0.0000 0.5000  2 Sr 3.04
Br1 0.0000 0.5000 0.0000  2 Sr 2.93
Br2 0.5000 0.0000 0.0000  2 Sr 2.93



[6]
DFT (PBE-GGA) results for a relaxed SrAgSeBr2 crystal.

## Properties
* offset from the most stable computed form: 0.00 eV/f.u.

abc: 5.2663 5.2663 5.3329
angles: 90.00 90.00 90.00
Closest atoms and distances in Å follow each position.
Atoms (fractional coordinates):
Sr1 0.0000 0.0000 0.0000  4 Se 3.72, 8 Br 3.75
Ag1 0.5000 0.5000 0.5000  4 Br 2.63, 2 Se 2.67
Se1 0.5000 0.5000 0.0000  2 Ag 2.67
Br1 0.0000 0.5000 0.5000  2 Ag 2.63
Br2 0.5000 0.0000 0.5000  2 Ag 2.63



[7]
DFT (PBE-GGA) results for a relaxed TaAgSeBr2 crystal.

## Properties
* offset from the most stable computed form: 4.95 eV/f.u.

abc: 5.1121 5.1121 5.1819
angles: 90.00 90.00 90.00
Closest atoms and distances in Å follow each position.
Atoms (fractional coordinates):
Ta1 0.0000 0.0000 0.0000  4 Se 3.61, 8 Br 3.64
Ag1 0.5000 0.5000 0.5000  4 Br 2.56, 2 Se 2.59
Se1 0.5000 0.5000 0.0000  2 Ag 2.59
Br1 0.0000 0.5000 0.5000  2 Ag 2.56
Br2 0.5000 0.0000 0.5000  2 Ag 2.56



[8]
DFT (PBE-GGA) results for a relaxed TaAgSeBr2 crystal.

## Properties
* offset from the most stable computed form: 0.00 eV/f.u.

abc: 5.1736 5.1736 5.0302
angles: 90.00 90.00 90.00
Closest atoms and distances in Å follow each position.
Atoms (fractional coordinates):
Ta1 0.0000 0.0000 0.0000  2 Se 2.52, 4 Br 2.59
Ag1 0.5000 0.5000 0.5000  8 Br 3.61, 4 Se 3.66
Se1 0.0000 0.0000 0.5000  2 Ta 2.52
Br1 0.0000 0.5000 0.0000  2 Ta 2.59
Br2 0.5000 0.0000 0.0000  2 Ta 2.59